VASP calculation (PBE) on a relaxed TlSiPb2 crystal.

Values from the calculation:
- formation energy from raw total energies (meV/atom) = 377
- DFT total energy (eV per cell) = -13.7
- total magnetization (Bohr magnetons per cell) = 0.00

Cell lengths 5.7437, 5.7437, 3.3676 Å; angles 90.00, 90.00, 90.00 degrees
Space group P4/mmm (No. 123)
Symmetry-distinct sites (fractional):
Tl (0.0000, 0.0000, 0.0000) x1
Si (0.5000, 0.5000, 0.0000) x1
Pb (0.0000, 0.5000, 0.5000) x2